Model A:
{
  "formula": "Cd2GaAg5",
  "functional": "GGA-PBE",
  "state": "relaxed",
  "lattice": [[5.777, 0.000, 0.000], [0.000, 11.379, 0.000], [0.000, 0.000, 4.495]],
  "species": ["Cd", "Cd", "Cd", "Cd", "Ga", "Ga", "Ag", "Ag", "Ag", "Ag", "Ag", "Ag", "Ag", "Ag", "Ag", "Ag"],
  "frac_coords": [[0.166, 0.139, 0.000], [0.334, 0.639, 0.000], [0.666, 0.361, 0.000], [0.834, 0.861, 0.000], [0.000, 0.500, 0.500], [0.500, 0.000, 0.500], [0.000, 0.000, 0.500], [0.087, 0.745, 0.500], [0.170, 0.393, 0.000], [0.330, 0.893, 0.000], [0.413, 0.245, 0.500], [0.500, 0.500, 0.500], [0.587, 0.755, 0.500], [0.670, 0.107, 0.000], [0.830, 0.607, 0.000], [0.913, 0.255, 0.500]],
  "magmom_total_mub_per_atom": 0.00,
  "spacegroup": "Pbam"
}

---

Model B:
{
  "formula": "Cd2GaAg5",
  "functional": "GGA-PBE",
  "state": "relaxed",
  "lattice": [[6.192, 0.000, 0.000], [0.000, 6.192, 0.000], [0.000, 0.000, 4.790]],
  "species": ["Cd", "Cd", "Ga", "Ag", "Ag", "Ag", "Ag", "Ag"],
  "frac_coords": [[0.000, 0.500, 0.000], [0.500, 0.000, 0.000], [0.000, 0.000, 0.500], [0.000, 0.000, 0.000], [0.283, 0.283, 0.500], [0.283, 0.717, 0.500], [0.717, 0.283, 0.500], [0.717, 0.717, 0.500]],
  "magmom_total_mub_per_atom": 0.00,
  "spacegroup": "P4/mmm"
}

---

Taking the most stable structure as the zero point, the relative energies in meV/atom are model A 0; model B 325.